No. 1
Material: La3Pt
Method: DFT, GGA-PBE
State: relaxed

As for the electronic total energy: -22.7 eV for the cell shown. The calculation puts the energy relative to the elements at -1.92 eV/f.u. As for the volume: 137 Å³/f.u.

The structure belongs to space group P-6m2 (No. 187); the cell edges are 4.0176, 4.0176 and 9.7804 Å and the angles 90.00°, 90.00° and 120.00°. Symmetry generates all atoms from La at (0.0000, 0.0000, 0.0000), La at (0.6667, 0.3333, 0.3105) and Pt at (0.0000, 0.0000, 0.5000).

***

No. 2
Material: La7Pt3
Method: DFT, GGA-PBE
State: relaxed

As for the electronic total energy: -121.0 eV for the cell shown. The calculation puts the energy relative to the elements at -7.90 eV/f.u. As for the volume: 306 Å³/f.u.

The structure belongs to space group P6_3mc (No. 186); the cell edges are 10.3713, 10.3713 and 6.5732 Å and the angles 90.00°, 90.00° and 120.00°. Symmetry generates all atoms from La at (0.0742, 0.5371, 0.0000), La at (0.1265, 0.2529, 0.6940), La at (0.3333, 0.6667, 0.4788) and Pt at (0.1883, 0.3765, 0.2451).

***

No. 3
Material: LaPt2
Method: DFT, GGA-PBE
State: relaxed

As for the electronic total energy: -162.4 eV for the cell shown. The calculation puts the energy relative to the elements at -3.29 eV/f.u. As for the volume: 61 Å³/f.u.

The structure belongs to space group Fd-3m (No. 227, origin choice 2); the cell edges are 7.859, 7.859 and 7.859 Å and the angles 90.00°, 90.00° and 90.00°. Symmetry generates all atoms from La at (0.125, 0.125, 0.125) and Pt at (0.000, 0.000, 0.500).

***

No. 4
Material: La2Pt
Method: DFT, GGA-PBE
State: relaxed

As for the electronic total energy: -582.7 eV for the cell shown. The calculation puts the energy relative to the elements at -2.31 eV/f.u. As for the volume: 88 Å³/f.u.

The structure belongs to space group Fd-3m (No. 227, origin choice 2); the cell edges are 14.109, 14.109 and 14.109 Å and the angles 90.00°, 90.00° and 90.00°. Symmetry generates all atoms from La at (0.000, 0.000, 0.000), La at (0.065, 0.375, 0.875) and Pt at (0.021, 0.021, 0.229).

***

No. 5
Material: LaPt
Method: DFT, GGA-PBE
State: relaxed

As for the electronic total energy: -24.7 eV for the cell shown. The calculation puts the energy relative to the elements at -1.38 eV/f.u. As for the volume: 63 Å³/f.u.

The structure belongs to space group P-3m1 (No. 164); the cell edges are 4.1721, 4.1721 and 8.3991 Å and the angles 90.00°, 90.00° and 120.00°. Symmetry generates all atoms from La at (0.3333, 0.6667, 0.2792) and Pt at (0.3333, 0.6667, 0.9010).

***

No. 6
Material: LaPt2
Method: DFT, GGA-PBE
State: relaxed

As for the electronic total energy: -80.3 eV for the cell shown. The calculation puts the energy relative to the elements at -3.06 eV/f.u. As for the volume: 68 Å³/f.u.

The structure belongs to space group Imma (No. 74); the cell edges are 4.274, 7.708 and 8.307 Å and the angles 90.00°, 90.00° and 90.00°. Symmetry generates all atoms from La at (0.000, 0.250, 0.027) and Pt at (0.000, 0.023, 0.657).

***

No. 7
Material: La3Pt2
Method: DFT, GGA-PBE
State: relaxed

As for the electronic total energy: -62.3 eV for the cell shown. Its energy above the most stable polymorph in this dataset is 0.127 eV/atom. The calculation puts the energy relative to the elements at -4.31 eV/f.u. As for the volume: 141 Å³/f.u.

The structure belongs to space group I4/mmm (No. 139); the cell edges are 3.702, 3.702 and 20.579 Å and the angles 90.00°, 90.00° and 90.00°. Symmetry generates all atoms from La at (0.000, 0.000, 0.000), La at (0.000, 0.000, 0.170) and Pt at (0.000, 0.000, 0.407).

***

No. 8
Material: La2Pt
Method: DFT, GGA-PBE
State: relaxed

As for the electronic total energy: -54.6 eV for the cell shown. The calculation puts the energy relative to the elements at -2.31 eV/f.u. As for the volume: 86 Å³/f.u.

The structure belongs to space group P-62m (No. 189); the cell edges are 7.8142, 7.8142 and 4.9000 Å and the angles 90.00°, 90.00° and 120.00°. Symmetry generates all atoms from La at (0.0000, 0.2664, 0.0000), La at (0.0000, 0.5963, 0.5000), Pt at (0.0000, 0.0000, 0.5000) and Pt at (0.3333, 0.6667, 0.0000).